No. 1
Compound: Ca3Cd3Ag
Source: the Alexandria database
Functional: PBE
Structure: relaxed

Calculated values
Energy relative to the elements, eV per atom: -0.309
SG: C2/m
Crystal system: monoclinic
Magnetization, μB per formula unit: 0.0

Cell: 4.1404 6.1777 16.5089 Å, 83.25 82.80 70.42°
Last column: nearest neighbours and their distance in Å.
Atoms (fractional coordinates):
Ca  0.5059  0.3684  0.6198  3 Ag 3.22-3.36, 6 Cd 3.33-3.38
Ca  0.4941  0.6316  0.3802  3 Ag 3.22-3.36, 6 Cd 3.33-3.38
Ca  0.2655  0.2373  0.2317  2 Ag 3.18, 5 Cd 3.25-3.38
Ca  0.7345  0.7627  0.7683  2 Ag 3.18, 5 Cd 3.25-3.38
Ca  0.3815  0.3124  0.9246  7 Cd 3.24-3.34
Ca  0.6185  0.6876  0.0754  7 Cd 3.24-3.34
Cd  0.8476  0.7744  0.5305  3 Ag 2.85-2.99
Cd  0.1524  0.2256  0.4695  3 Ag 2.85-2.99
Cd  0.1032  0.8699  0.9237  2 Cd 3.02, 7 Ca 3.24-3.38
Cd  0.8968  0.1301  0.0763  2 Cd 3.02, 7 Ca 3.24-3.38
Cd  0.9881  0.7967  0.2271  1 Ag 2.89, 1 Cd 3.02
Cd  0.0119  0.2033  0.7729  1 Ag 2.89, 1 Cd 3.02
Ag  0.7862  0.0575  0.3701  4 Cd 2.85-2.99, 2 Ca 3.18
Ag  0.2138  0.9425  0.6299  4 Cd 2.85-2.99, 2 Ca 3.18


No. 2
Compound: UHBrCl
Source: the Alexandria database
Functional: PBE
Structure: relaxed

Calculated values
Total energy, eV per atom: -5.67
SG: Cm
Crystal system: monoclinic
Magnetization, μB per formula unit: 3.0

Cell: 3.7961 3.7961 7.7575 Å, 90.07 104.10 120.00°
Last column: nearest neighbours and their distance in Å.
Atoms (fractional coordinates):
U  0.8347  0.2819  0.1166  3 H 2.19
H  0.5036  0.6164  0.1200  3 U 2.19
Br  0.3490  0.0397  0.3887  3 H 2.97, 3 U 2.98
Cl  0.0048  0.8664  0.8712  3 U 2.85, 3 H 2.87


No. 3
Compound: PuHf2Th
Source: the Alexandria database
Functional: PBE
Structure: relaxed

Calculated values
Energy above the most stable polymorph in this dataset, meV per atom: 32
Energy relative to the elements, eV per atom: 0.171
SG: P4/mmm
Crystal system: tetragonal
Magnetization, μB per formula unit: 5.3

Cell: 3.2810 3.2810 9.4298 Å, 90.00 90.00 90.00°
Last column: nearest neighbours and their distance in Å.
Atoms (fractional coordinates):
Hf  0.0000  0.0000  0.7666  4 Pu 3.20, 4 Hf 3.28, 4 Th 3.42
Hf  0.0000  0.0000  0.2334  4 Pu 3.20, 4 Hf 3.28, 4 Th 3.42
Th  0.5000  0.5000  0.5000  4 Th 3.28, 8 Hf 3.42
Pu  0.5000  0.5000  0.0000  8 Hf 3.20, 4 Pu 3.28


No. 4
Compound: KTa2In
Source: the Alexandria database
Functional: PBE
Structure: relaxed

Calculated values
Energy relative to the elements, eV per atom: 0.812
SG: C2/m
Crystal system: monoclinic
Magnetization, μB per formula unit: 0.0

Cell: 6.5394 6.5394 5.5109 Å, 70.26 70.26 24.98°
Last column: nearest neighbours and their distance in Å.
Atoms (fractional coordinates):
In  0.7500  0.7500  0.7500  2 In 2.83, 4 Ta 2.98, 4 K 3.10
K  0.2500  0.2500  0.2500  2 K 2.83, 4 In 3.10
Ta  0.0317  0.0317  0.9670  4 Ta 2.83-3.12, 2 In 2.98
Ta  0.4683  0.4683  0.5330  4 Ta 2.83-3.12, 2 In 2.98


Question: Which value of magnetization does entry 3 give?
Answer: 5.3 μB per formula unit


Question: Among the records above, which one has the highest magnetization?
Answer: PuHf2Th